[1]
The following is a DFT calculation (PBE) of a geometry-optimized RbNa2BSb structure.

## Properties
Mass density, g cm⁻³: 2.7
ΔE_f (raw), meV/atom: 765
Total magnetic moment, μB per atom: 0.20
DOS(E_F), states/eV/f.u.: 5.1

CIF file:
```
data_RbNa2BSb
_cell_length_a 5.3291
_cell_length_b 5.3291
_cell_length_c 5.8165
_cell_angle_alpha 90.00
_cell_angle_beta 90.00
_cell_angle_gamma 90.00
_symmetry_space_group_name_H-M 'P 4/m m m'
_symmetry_Int_Tables_number 123
_symmetry_space_group_name_Hall '-P 4 2'
loop_
_atom_site_label
_atom_site_fract_x
_atom_site_fract_y
_atom_site_fract_z
_atom_site_occupancy
Rb1 0.0000 0.0000 0.0000 1
Na1 0.0000 0.5000 0.5000 1
B1 0.0000 0.0000 0.5000 1
Sb1 0.5000 0.5000 0.0000 1
```

=====

[2]
The following is a DFT calculation (PBE) of a geometry-optimized CaOsRu structure.

## Properties
Formation energy from the elements, eV/atom: 0.537
Mass density, g cm⁻³: 8.6
Polymorph energy (0 for the lowest one), meV/atom: 446.0
Total magnetic moment, μB per atom: 0.00
DOS(E_F), states/eV/f.u.: 2.5

CIF file:
```
data_CaOsRu
_cell_length_a 6.2391
_cell_length_b 4.3242
_cell_length_c 9.5207
_cell_angle_alpha 90.00
_cell_angle_beta 90.00
_cell_angle_gamma 90.00
_symmetry_space_group_name_H-M 'P n m a'
_symmetry_Int_Tables_number 62
loop_
_symmetry_equiv_pos_as_xyz
'x,y,z'
'-x,-y,-z'
'-x+1/2,-y,z+1/2'
'x+1/2,y,-z+1/2'
'x+1/2,-y+1/2,-z+1/2'
'-x+1/2,y+1/2,z+1/2'
'-x,y+1/2,-z'
'x,-y+1/2,z'
loop_
_atom_site_label
_atom_site_fract_x
_atom_site_fract_y
_atom_site_fract_z
_atom_site_occupancy
Ca1 0.1476 0.2500 0.1056 1
Os1 0.1549 0.2500 0.4173 1
Ru1 0.0054 0.7500 0.3518 1
```

=====

[3]
The following is a DFT calculation (PBE) of a geometry-optimized Nd2Ge4IrPt3 structure.

## Properties
Formation energy from the elements, eV/atom: -0.888
Mass density, g cm⁻³: 11.8
Total magnetic moment, μB per atom: 0.00
DOS(E_F), states/eV/f.u.: 5.9

CIF file:
```
data_Nd2Ge4IrPt3
_cell_length_a 4.2881
_cell_length_b 4.2881
_cell_length_c 10.3918
_cell_angle_alpha 90.00
_cell_angle_beta 90.00
_cell_angle_gamma 90.00
_symmetry_space_group_name_H-M 'P -4 m 2'
_symmetry_Int_Tables_number 115
loop_
_symmetry_equiv_pos_as_xyz
'x,y,z'
'y,-x,-z'
'-x,-y,z'
'-y,x,-z'
'-x,y,z'
'-y,-x,-z'
'x,-y,z'
'y,x,-z'
loop_
_atom_site_label
_atom_site_fract_x
_atom_site_fract_y
_atom_site_fract_z
_atom_site_occupancy
Nd1 0.0000 0.5000 0.2489 1
Ge1 0.0000 0.0000 0.0000 1
Ge2 0.0000 0.5000 0.6327 1
Ge3 0.5000 0.5000 0.0000 1
Ir1 0.0000 0.0000 0.5000 1
Pt1 0.0000 0.5000 0.8701 1
Pt2 0.5000 0.5000 0.5000 1
```

=====

[4]
The following is a DFT calculation (PBE) of a geometry-optimized Ac3InGa structure.

## Properties
Formation energy from the elements, eV/atom: -0.348
Mass density, g cm⁻³: 8.2
Total magnetic moment, μB per atom: 0.00
DOS(E_F), states/eV/f.u.: 4.9

CIF file:
```
data_Ac3InGa
_cell_length_a 7.5259
_cell_length_b 10.3392
_cell_length_c 9.7155
_cell_angle_alpha 90.00
_cell_angle_beta 112.75
_cell_angle_gamma 90.00
_symmetry_space_group_name_H-M 'C 1 2/m 1'
_symmetry_Int_Tables_number 12
loop_
_symmetry_equiv_pos_as_xyz
'x,y,z'
'-x,-y,-z'
'-x,y,-z'
'x,-y,z'
'x+1/2,y+1/2,z'
'-x+1/2,-y+1/2,-z'
'-x+1/2,y+1/2,-z'
'x+1/2,-y+1/2,z'
loop_
_atom_site_label
_atom_site_fract_x
_atom_site_fract_y
_atom_site_fract_z
_atom_site_occupancy
Ac1 0.1008 0.1908 0.2013 1
Ac2 0.1932 0.5000 0.3849 1
In1 0.1934 0.5000 0.0002 1
Ga1 0.0000 0.2502 0.5000 1
```

=====

[5]
The following is a DFT calculation (PBE) of a geometry-optimized ScCrMo2 structure.

## Properties
Formation energy from the elements, eV/atom: 0.383
Mass density, g cm⁻³: 7.4
Polymorph energy (0 for the lowest one), meV/atom: 259.0
Total magnetic moment, μB per atom: 0.07
DOS(E_F), states/eV/f.u.: 4.2

CIF file:
```
data_ScCrMo2
_cell_length_a 2.6511
_cell_length_b 4.6449
_cell_length_c 5.2297
_cell_angle_alpha 90.00
_cell_angle_beta 90.00
_cell_angle_gamma 90.00
_symmetry_space_group_name_H-M 'P m m m'
_symmetry_Int_Tables_number 47
loop_
_symmetry_equiv_pos_as_xyz
'x,y,z'
'-x,-y,-z'
'-x,-y,z'
'x,y,-z'
'x,-y,-z'
'-x,y,z'
'-x,y,-z'
'x,-y,z'
loop_
_atom_site_label
_atom_site_fract_x
_atom_site_fract_y
_atom_site_fract_z
_atom_site_occupancy
Sc1 0.0000 0.0000 0.0000 1
Cr1 0.0000 0.0000 0.5000 1
Mo1 0.5000 0.5000 0.2548 1
```

=====

[6]
The following is a DFT calculation (PBE) of a geometry-optimized Rb6Ti2O7 structure.

## Properties
Mass density, g cm⁻³: 2.8
ΔE_f (raw), meV/atom: -2156
Polymorph energy (0 for the lowest one), meV/atom: 32.8
Total magnetic moment, μB per atom: 0.02
DOS(E_F), states/eV/f.u.: 0.0

CIF file:
```
data_Rb6Ti2O7
_cell_length_a 9.8619
_cell_length_b 9.8619
_cell_length_c 10.0302
_cell_angle_alpha 90.00
_cell_angle_beta 90.00
_cell_angle_gamma 120.00
_symmetry_space_group_name_H-M 'P -3'
_symmetry_Int_Tables_number 147
loop_
_symmetry_equiv_pos_as_xyz
'x,y,z'
'-x,-y,-z'
'-y,x-y,z'
'y,-x+y,-z'
'-x+y,-x,z'
'x-y,x,-z'
loop_
_atom_site_label
_atom_site_fract_x
_atom_site_fract_y
_atom_site_fract_z
_atom_site_occupancy
Rb1 0.0278 0.3632 0.3741 1
Rb2 0.0397 0.3880 0.8747 1
Ti1 0.3333 0.6667 0.1821 1
Ti2 0.3333 0.6667 0.5657 1
O1 0.1697 0.4809 0.6215 1
O2 0.1740 0.4773 0.1271 1
O3 0.3333 0.6667 0.3738 1
```

=====

Q: What is the formula in the third record?
A: Nd2Ge4IrPt3

=====

Q: Number 1 is which compound?
A: RbNa2BSb

=====

Q: The highest total magnetic moment belongs to which entry?
A: RbNa2BSb